[1]
# Pm3Sm3Pd2 PBE optimized geometry
data_Pm3Sm3Pd2
_chemical_formula_sum 'Pm12 Sm12 Pd8'
_space_group_name_H-M_alt 'C m c m'
_space_group_IT_number 63
_space_group_name_Hall '-C 2c 2'
_cell_length_a 3.8522
_cell_length_b 13.4795
_cell_length_c 18.7800
_cell_angle_alpha 90.00
_cell_angle_beta 90.00
_cell_angle_gamma 90.00
loop_
_atom_site_label
_atom_site_type_symbol
_atom_site_fract_x
_atom_site_fract_y
_atom_site_fract_z
Pm1 Pm 0.0000 0.0600 0.2500
Pm2 Pm 0.0000 0.1680 0.5556
Sm1 Sm 0.0000 0.2089 0.7500
Sm2 Sm 0.0000 0.4454 0.5898
Pd1 Pd 0.0000 0.2113 0.1362
# Crystal system: orthorhombic
# Mass density (g cm⁻³): 7.5
# VASP energy (eV/atom): -5.173

---

[2]
# MgBePt4 PBE optimized geometry
data_MgBePt4
_chemical_formula_sum 'Mg1 Be1 Pt4'
_space_group_name_H-M_alt 'P 4/m m m'
_space_group_IT_number 123
_space_group_name_Hall '-P 4 2'
_cell_length_a 3.9392
_cell_length_b 3.9392
_cell_length_c 6.2000
_cell_angle_alpha 90.00
_cell_angle_beta 90.00
_cell_angle_gamma 90.00
loop_
_atom_site_label
_atom_site_type_symbol
_atom_site_fract_x
_atom_site_fract_y
_atom_site_fract_z
Mg1 Mg 0.0000 0.0000 0.0000
Be1 Be 0.5000 0.5000 0.5000
Pt1 Pt 0.0000 0.5000 0.2789
# Crystal system: tetragonal
# Mass density (g cm⁻³): 14.0
# VASP energy (eV/atom): -5.278

---

[3]
# SrMoPt PBE optimized geometry
data_SrMoPt
_chemical_formula_sum 'Sr4 Mo4 Pt4'
_space_group_name_H-M_alt 'I m m 2'
_space_group_IT_number 44
_space_group_name_Hall 'I 2 -2'
_cell_length_a 5.2089
_cell_length_b 5.9728
_cell_length_c 8.2302
_cell_angle_alpha 90.00
_cell_angle_beta 90.00
_cell_angle_gamma 90.00
loop_
_atom_site_label
_atom_site_type_symbol
_atom_site_fract_x
_atom_site_fract_y
_atom_site_fract_z
Sr1 Sr 0.0000 0.0000 0.0000
Sr2 Sr 0.0000 0.5000 0.2500
Mo1 Mo 0.2216 0.5000 0.8697
Pt1 Pt 0.0000 0.2389 0.6171
# Crystal system: orthorhombic
# Mass density (g cm⁻³): 9.8
# VASP energy (eV/atom): -6.285

---

[4]
# ZrAlBi2C PBE optimized geometry
data_ZrAlBi2C
_chemical_formula_sum 'Zr1 Al1 Bi2 C1'
_space_group_name_H-M_alt 'P 4/m m m'
_space_group_IT_number 123
_space_group_name_Hall '-P 4 2'
_cell_length_a 5.6106
_cell_length_b 5.6106
_cell_length_c 5.4281
_cell_angle_alpha 90.00
_cell_angle_beta 90.00
_cell_angle_gamma 90.00
loop_
_atom_site_label
_atom_site_type_symbol
_atom_site_fract_x
_atom_site_fract_y
_atom_site_fract_z
Zr1 Zr 0.0000 0.0000 0.0000
Al1 Al 0.0000 0.0000 0.5000
Bi1 Bi 0.0000 0.5000 0.0000
C1 C 0.5000 0.5000 0.5000
# Crystal system: tetragonal
# Mass density (g cm⁻³): 5.3
# VASP energy (eV/atom): -4.112

---

[5]
# La2BeCd PBE optimized geometry
data_La2BeCd
_chemical_formula_sum 'La2 Be1 Cd1'
_space_group_name_H-M_alt 'P 1 m 1'
_space_group_IT_number 6
_space_group_name_Hall 'P -2y'
_cell_length_a 3.7735
_cell_length_b 4.5699
_cell_length_c 6.5335
_cell_angle_alpha 90.00
_cell_angle_beta 106.69
_cell_angle_gamma 90.00
loop_
_atom_site_label
_atom_site_type_symbol
_atom_site_fract_x
_atom_site_fract_y
_atom_site_fract_z
La1 La 0.0000 0.0000 0.0000
La2 La 0.3153 0.5000 0.6321
Be1 Be 0.5954 0.5000 0.1929
Cd1 Cd 0.7094 0.0000 0.4203
# Crystal system: monoclinic
# Mass density (g cm⁻³): 6.1
# VASP energy (eV/atom): -3.603

---

[6]
# CaP2Pb PBE optimized geometry
data_CaP2Pb
_chemical_formula_sum 'Ca2 P4 Pb2'
_space_group_name_H-M_alt 'C 1 m 1'
_space_group_IT_number 8
_space_group_name_Hall 'C -2y'
_cell_length_a 10.8348
_cell_length_b 4.2641
_cell_length_c 4.3654
_cell_angle_alpha 90.00
_cell_angle_beta 103.01
_cell_angle_gamma 90.00
loop_
_atom_site_label
_atom_site_type_symbol
_atom_site_fract_x
_atom_site_fract_y
_atom_site_fract_z
Ca1 Ca 0.0000 0.0000 0.0000
P1 P 0.0222 0.5000 0.5230
P2 P 0.2004 0.5000 0.9061
Pb1 Pb 0.2641 0.0000 0.5309
# Crystal system: monoclinic
# Mass density (g cm⁻³): 5.2
# VASP energy (eV/atom): -4.552

---

[7]
# CuSb2I PBE optimized geometry
data_CuSb2I
_chemical_formula_sum 'Cu4 Sb8 I4'
_space_group_name_H-M_alt 'F m -3 m'
_space_group_IT_number 225
_space_group_name_Hall '-F 4 2 3'
_cell_length_a 7.4191
_cell_length_b 7.4191
_cell_length_c 7.4191
_cell_angle_alpha 90.00
_cell_angle_beta 90.00
_cell_angle_gamma 90.00
loop_
_atom_site_label
_atom_site_type_symbol
_atom_site_fract_x
_atom_site_fract_y
_atom_site_fract_z
Cu1 Cu 0.0000 0.0000 0.0000
Sb1 Sb 0.2500 0.2500 0.2500
I1 I 0.0000 0.0000 0.5000
# Crystal system: cubic
# Mass density (g cm⁻³): 7.1
# ΔE_f (raw) (eV/f.u.): 2.5
# VASP energy (eV/atom): -2.840

---

[8]
# TlSn2GeF PBE optimized geometry
data_TlSn2GeF
_chemical_formula_sum 'Tl1 Sn2 Ge1 F1'
_space_group_name_H-M_alt 'P 4/m m m'
_space_group_IT_number 123
_space_group_name_Hall '-P 4 2'
_cell_length_a 5.2919
_cell_length_b 5.2919
_cell_length_c 6.1774
_cell_angle_alpha 90.00
_cell_angle_beta 90.00
_cell_angle_gamma 90.00
loop_
_atom_site_label
_atom_site_type_symbol
_atom_site_fract_x
_atom_site_fract_y
_atom_site_fract_z
Tl1 Tl 0.0000 0.0000 0.0000
Sn1 Sn 0.0000 0.5000 0.5000
Ge1 Ge 0.0000 0.0000 0.5000
F1 F 0.5000 0.5000 0.0000
# Crystal system: tetragonal
# Mass density (g cm⁻³): 5.1
# ΔE_f (raw) (eV/f.u.): 0.6
# VASP energy (eV/atom): -3.261

---

no.,M_tot (μB per formula unit)
1,0.00
2,0.00
3,0.00
4,2.15
5,0.00
6,0.00
7,0.00
8,0.00